# 1
# HoTmThMg

An optimized crystal structure of HoTmThMg (PBE, Alexandria).

Properties
Its energy relative to the lowest polymorph listed for this composition is 0.130 eV/atom. For the calculated formation energy, the calculation gives 0.0932 eV per atom. The calculation puts the density of states at the Fermi level at 7.0 states/eV/f.u. Its space group is F-43m (216).

Cell lengths 5.4934, 5.4934, 5.4934 Å; angles 60.00, 60.00, 60.00 degrees
Atoms (fractional coordinates):
Ho1 0.0000 0.0000 0.0000
Tm1 0.2500 0.2500 0.2500
Th1 0.5000 0.5000 0.5000
Mg1 0.7500 0.7500 0.7500

=====

# 2
# Ho2Tm5ThMg

An optimized crystal structure of Ho2Tm5ThMg (PBE, Alexandria).

Properties
For the calculated formation energy, the calculation gives 0.1236 eV per atom. The calculation puts the density of states at the Fermi level at 13.6 states/eV/f.u. Its space group is Cmc2_1 (36).

Cell lengths 10.2205, 10.2205, 10.3289 Å; angles 90.00, 90.00, 149.31 degrees
Atoms (fractional coordinates):
Ho1 0.1150 0.8850 0.5000
Ho2 0.1152 0.8848 0.9216
Ho3 0.8850 0.1150 0.0000
Ho4 0.8848 0.1152 0.4216
Tm1 0.0140 0.9860 0.2108
Tm2 0.2880 0.7120 0.5092
Tm3 0.2885 0.7115 0.9123
Tm4 0.3827 0.6173 0.2108
Tm5 0.5002 0.4998 0.4604
Tm6 0.4998 0.5002 0.9604
Tm7 0.6173 0.3827 0.7108
Tm8 0.7120 0.2880 0.0092
Tm9 0.7115 0.2885 0.4123
Tm10 0.9860 0.0140 0.7108
Th1 0.2025 0.7975 0.2107
Th2 0.7975 0.2025 0.7107
Mg1 0.4041 0.5959 0.7099
Mg2 0.5959 0.4041 0.2099

=====

# 3
# YHoThMg

An optimized crystal structure of YHoThMg (PBE, Alexandria).

Properties
Its energy relative to the lowest polymorph listed for this composition is 0.000 eV/atom. For the calculated formation energy, the calculation gives -0.0451 eV per atom. The calculation puts the density of states at the Fermi level at 5.0 states/eV/f.u. Its space group is P4mm (99).

Cell lengths 3.5931, 3.5931, 9.1753 Å; angles 90.00, 90.00, 90.00 degrees
Atoms (fractional coordinates):
Y1 0.0000 0.0000 0.0000
Ho1 0.0000 0.0000 0.4771
Th1 0.5000 0.5000 0.7362
Mg1 0.5000 0.5000 0.2401

=====

# 4
# YHoThMg

An optimized crystal structure of YHoThMg (PBE, Alexandria).

Properties
Its energy relative to the lowest polymorph listed for this composition is 0.144 eV/atom. For the calculated formation energy, the calculation gives 0.0989 eV per atom. The calculation puts the density of states at the Fermi level at 7.5 states/eV/f.u. Its space group is F-43m (216).

Cell lengths 5.5278, 5.5278, 5.5278 Å; angles 60.00, 60.00, 60.00 degrees
Atoms (fractional coordinates):
Y1 0.0000 0.0000 0.0000
Ho1 0.2500 0.2500 0.2500
Th1 0.5000 0.5000 0.5000
Mg1 0.7500 0.7500 0.7500

=====

# 5
# Y2Ho2ThMg5

An optimized crystal structure of Y2Ho2ThMg5 (PBE, Alexandria).

Properties
For the calculated formation energy, the calculation gives 0.1232 eV per atom. The calculation puts the density of states at the Fermi level at 8.4 states/eV/f.u. Its space group is P4/mbm (127).

Cell lengths 10.5434, 10.5434, 5.1600 Å; angles 90.00, 90.00, 90.00 degrees
Atoms (fractional coordinates):
Y1 0.1779 0.3221 0.0000
Y2 0.3221 0.8221 0.0000
Y3 0.6779 0.1779 0.0000
Y4 0.8221 0.6779 0.0000
Ho1 0.1192 0.6192 0.0000
Ho2 0.3808 0.1192 0.0000
Ho3 0.6192 0.8808 0.0000
Ho4 0.8808 0.3808 0.0000
Th1 0.0000 0.0000 0.0000
Th2 0.5000 0.5000 0.0000
Mg1 0.0000 0.5000 0.5000
Mg2 0.0748 0.8026 0.5000
Mg3 0.1974 0.0748 0.5000
Mg4 0.3026 0.5748 0.5000
Mg5 0.4252 0.3026 0.5000
Mg6 0.5000 0.0000 0.5000
Mg7 0.5748 0.6974 0.5000
Mg8 0.6974 0.4252 0.5000
Mg9 0.8026 0.9252 0.5000
Mg10 0.9252 0.1974 0.5000

=====

# 6
# HoThMgZr

An optimized crystal structure of HoThMgZr (PBE, Alexandria).

Properties
For the calculated formation energy, the calculation gives 0.1100 eV per atom. The calculation puts the density of states at the Fermi level at 6.5 states/eV/f.u. Its space group is F-43m (216).

Cell lengths 5.3522, 5.3522, 5.3522 Å; angles 60.00, 60.00, 60.00 degrees
Atoms (fractional coordinates):
Ho1 0.0000 0.0000 0.0000
Th1 0.5000 0.5000 0.5000
Mg1 0.2500 0.2500 0.2500
Zr1 0.7500 0.7500 0.7500

=====

# 7
# HoMg2Ti

An optimized crystal structure of HoMg2Ti (PBE, Alexandria).

Properties
Its energy relative to the lowest polymorph listed for this composition is 0.026 eV/atom. For the calculated formation energy, the calculation gives 0.1580 eV per atom. The calculation puts the density of states at the Fermi level at 4.9 states/eV/f.u. Its space group is P4/mmm (123).

Cell lengths 4.4988, 4.4988, 4.6328 Å; angles 90.00, 90.00, 90.00 degrees
Atoms (fractional coordinates):
Ho1 0.0000 0.0000 0.0000
Mg1 0.0000 0.5000 0.5000
Mg2 0.5000 0.0000 0.5000
Ti1 0.5000 0.5000 0.0000

=====

# 8
# HoMg2Ti

An optimized crystal structure of HoMg2Ti (PBE, Alexandria).

Properties
Its energy relative to the lowest polymorph listed for this composition is 0.025 eV/atom. For the calculated formation energy, the calculation gives 0.1570 eV per atom. The calculation puts the density of states at the Fermi level at 4.0 states/eV/f.u. Its space group is Fm-3m (225).

Cell lengths 5.0494, 5.0494, 5.0494 Å; angles 60.00, 60.00, 60.00 degrees
Atoms (fractional coordinates):
Ho1 0.0000 0.0000 0.0000
Mg1 0.2500 0.2500 0.2500
Mg2 0.7500 0.7500 0.7500
Ti1 0.5000 0.5000 0.5000

=====

# 9
# Ho2MgTi

An optimized crystal structure of Ho2MgTi (PBE, Alexandria).

Properties
Its energy relative to the lowest polymorph listed for this composition is 0.081 eV/atom. For the calculated formation energy, the calculation gives 0.1442 eV per atom. The calculation puts the density of states at the Fermi level at 7.5 states/eV/f.u. Its space group is Fm-3m (225).

Cell lengths 5.2318, 5.2318, 5.2318 Å; angles 60.00, 60.00, 60.00 degrees
Atoms (fractional coordinates):
Ho1 0.2500 0.2500 0.2500
Ho2 0.7500 0.7500 0.7500
Mg1 0.0000 0.0000 0.0000
Ti1 0.5000 0.5000 0.5000

=====

# 10
# HoMg2Ti

An optimized crystal structure of HoMg2Ti (PBE, Alexandria).

Properties
Its energy relative to the lowest polymorph listed for this composition is 0.000 eV/atom. For the calculated formation energy, the calculation gives 0.1317 eV per atom. The calculation puts the density of states at the Fermi level at 4.5 states/eV/f.u. Its space group is P4/mmm (123).

Cell lengths 3.5295, 3.5295, 7.3050 Å; angles 90.00, 90.00, 90.00 degrees
Atoms (fractional coordinates):
Ho1 0.0000 0.0000 0.0000
Mg1 0.5000 0.5000 0.2834
Mg2 0.5000 0.5000 0.7166
Ti1 0.0000 0.0000 0.5000

=====

# 11
# Ho2MgTi

An optimized crystal structure of Ho2MgTi (PBE, Alexandria).

Properties
Its energy relative to the lowest polymorph listed for this composition is 0.000 eV/atom. For the calculated formation energy, the calculation gives 0.0633 eV per atom. The calculation puts the density of states at the Fermi level at 4.2 states/eV/f.u. Its space group is P4/mmm (123).

Cell lengths 3.3815, 3.3815, 8.9019 Å; angles 90.00, 90.00, 90.00 degrees
Atoms (fractional coordinates):
Ho1 0.0000 0.0000 0.2307
Ho2 0.0000 0.0000 0.7693
Mg1 0.5000 0.5000 0.5000
Ti1 0.5000 0.5000 0.0000

=====

# 12
# Ho2MgTi

An optimized crystal structure of Ho2MgTi (PBE, Alexandria).

Properties
Its energy relative to the lowest polymorph listed for this composition is 0.087 eV/atom. For the calculated formation energy, the calculation gives 0.1499 eV per atom. The calculation puts the density of states at the Fermi level at 6.8 states/eV/f.u. Its space group is P4/mmm (123).

Cell lengths 5.3657, 5.3657, 3.5575 Å; angles 90.00, 90.00, 90.00 degrees
Atoms (fractional coordinates):
Ho1 0.0000 0.5000 0.0000
Ho2 0.5000 0.0000 0.0000
Mg1 0.0000 0.0000 0.5000
Ti1 0.5000 0.5000 0.5000

=====

# 13
# Ho2MgTi

An optimized crystal structure of Ho2MgTi (PBE, Alexandria).

Properties
Its energy relative to the lowest polymorph listed for this composition is 0.088 eV/atom. For the calculated formation energy, the calculation gives 0.1512 eV per atom. The calculation puts the density of states at the Fermi level at 5.0 states/eV/f.u. Its space group is R-3m (166).

Cell lengths 10.9275, 10.9275, 10.9275 Å; angles 17.44, 17.44, 17.44 degrees
Atoms (fractional coordinates):
Ho1 0.2436 0.2436 0.2436
Ho2 0.7564 0.7564 0.7564
Mg1 0.0000 0.0000 0.0000
Ti1 0.5000 0.5000 0.5000

=====

# 14
# YHoMgTi

An optimized crystal structure of YHoMgTi (PBE, Alexandria).

Properties
For the calculated formation energy, the calculation gives 0.1424 eV per atom. The calculation puts the density of states at the Fermi level at 8.0 states/eV/f.u. Its space group is F-43m (216).

Cell lengths 5.2544, 5.2544, 5.2544 Å; angles 60.00, 60.00, 60.00 degrees
Atoms (fractional coordinates):
Y1 0.0000 0.0000 0.0000
Ho1 0.5000 0.5000 0.5000
Mg1 0.7500 0.7500 0.7500
Ti1 0.2500 0.2500 0.2500

=====

# 15
# Ho2Mg2Tl3

An optimized crystal structure of Ho2Mg2Tl3 (PBE, Alexandria).

Properties
For the calculated formation energy, the calculation gives -0.1436 eV per atom. The calculation puts the density of states at the Fermi level at 3.9 states/eV/f.u. Its space group is Cmmm (65).

Cell lengths 14.5671, 14.5671, 3.6151 Å; angles 90.00, 90.00, 166.01 degrees
Atoms (fractional coordinates):
Ho1 0.0724 0.9276 0.0000
Ho2 0.9276 0.0724 0.0000
Mg1 0.2063 0.7937 0.0000
Mg2 0.7937 0.2063 0.0000
Tl1 0.3548 0.6452 0.5000
Tl2 0.5000 0.5000 0.5000
Tl3 0.6452 0.3548 0.5000

=====

# 16
# HoMg2Tl2

An optimized crystal structure of HoMg2Tl2 (PBE, Alexandria).

Properties
Its energy relative to the lowest polymorph listed for this composition is 0.251 eV/atom. For the calculated formation energy, the calculation gives 0.1646 eV per atom. The calculation puts the density of states at the Fermi level at 3.0 states/eV/f.u. Its space group is P6_3/mmc (194).

Cell lengths 5.0276, 5.0276, 13.0500 Å; angles 90.00, 90.00, 120.00 degrees
Atoms (fractional coordinates):
Ho1 0.0000 0.0000 0.2500
Ho2 0.0000 0.0000 0.7500
Mg1 0.0000 0.0000 0.0000
Mg2 0.0000 0.0000 0.5000
Mg3 0.3333 0.6667 0.2500
Mg4 0.6667 0.3333 0.7500
Tl1 0.3333 0.6667 0.6185
Tl2 0.3333 0.6667 0.8815
Tl3 0.6667 0.3333 0.1185
Tl4 0.6667 0.3333 0.3815

=====

# 17
# Ho5MgTl4

An optimized crystal structure of Ho5MgTl4 (PBE, Alexandria).

Properties
For the calculated formation energy, the calculation gives -0.2839 eV per atom. The calculation puts the density of states at the Fermi level at 8.5 states/eV/f.u. Its space group is P4/mmm (123).

Cell lengths 3.7768, 3.7768, 18.8263 Å; angles 90.00, 90.00, 90.00 degrees
Atoms (fractional coordinates):
Ho1 0.0000 0.0000 0.0000
Ho2 0.0000 0.0000 0.2017
Ho3 0.0000 0.0000 0.4033
Ho4 0.0000 0.0000 0.5967
Ho5 0.0000 0.0000 0.7983
Mg1 0.5000 0.5000 0.5000
Tl1 0.5000 0.5000 0.1007
Tl2 0.5000 0.5000 0.3054
Tl3 0.5000 0.5000 0.6946
Tl4 0.5000 0.5000 0.8993

=====

# 18
# Ho5Mg2Tl

An optimized crystal structure of Ho5Mg2Tl (PBE, Alexandria).

Properties
For the calculated formation energy, the calculation gives -0.0248 eV per atom. The calculation puts the density of states at the Fermi level at 7.3 states/eV/f.u. Its space group is I4/mcm (140).

Cell lengths 9.3560, 9.3560, 9.3560 Å; angles 130.42, 130.42, 72.74 degrees
Atoms (fractional coordinates):
Ho1 0.0000 0.0000 0.0000
Ho2 0.0015 0.5015 0.8210
Ho3 0.1805 0.0015 0.5000
Ho4 0.3195 0.8195 0.8210
Ho5 0.4985 0.3195 0.5000
Ho6 0.5000 0.5000 0.0000
Ho7 0.5015 0.6805 0.5000
Ho8 0.6805 0.1805 0.1790
Ho9 0.8195 0.9985 0.5000
Ho10 0.9985 0.4985 0.1790
Mg1 0.1288 0.3712 0.5000
Mg2 0.3712 0.8712 0.2424
Mg3 0.6288 0.1288 0.7576
Mg4 0.8712 0.6288 0.5000
Tl1 0.2500 0.2500 0.0000
Tl2 0.7500 0.7500 0.0000

=====

# 19
# Ho6MgTl

An optimized crystal structure of Ho6MgTl (PBE, Alexandria).

Properties
For the calculated formation energy, the calculation gives 0.2312 eV per atom. The calculation puts the density of states at the Fermi level at 12.0 states/eV/f.u. Its space group is C2/m (12).

Cell lengths 6.9612, 6.9612, 6.9184 Å; angles 104.27, 104.27, 120.29 degrees
Atoms (fractional coordinates):
Ho1 0.0355 0.4612 0.2542
Ho2 0.2496 0.2496 0.7467
Ho3 0.4612 0.0355 0.2542
Ho4 0.5388 0.9645 0.7458
Ho5 0.7504 0.7504 0.2533
Ho6 0.9645 0.5388 0.7458
Mg1 0.5000 0.5000 0.5000
Tl1 0.0000 0.0000 0.0000

=====

# 20
# Ho3MgTl3

An optimized crystal structure of Ho3MgTl3 (PBE, Alexandria).

Properties
For the calculated formation energy, the calculation gives -0.1364 eV per atom. The calculation puts the density of states at the Fermi level at 5.6 states/eV/f.u. Its space group is P6_3/m (176).

Cell lengths 9.0020, 9.0020, 5.5307 Å; angles 90.00, 90.00, 120.00 degrees
Atoms (fractional coordinates):
Ho1 0.0994 0.4538 0.2500
Ho2 0.3544 0.9006 0.2500
Ho3 0.4538 0.3544 0.7500
Ho4 0.5462 0.6456 0.2500
Ho5 0.6456 0.0994 0.7500
Ho6 0.9006 0.5462 0.7500
Mg1 0.3333 0.6667 0.7500
Mg2 0.6667 0.3333 0.2500
Tl1 0.0553 0.2554 0.7500
Tl2 0.2001 0.9447 0.7500
Tl3 0.2554 0.2001 0.2500
Tl4 0.7446 0.7999 0.7500
Tl5 0.7999 0.0553 0.2500
Tl6 0.9447 0.7446 0.2500